[1]
Density functional theory data (PBE-GGA) for Ba3Sb4Pb2 after structural relaxation.

The space group is P-1 (No. 2) and the conventional cell measures 5.103, 8.110 and 9.133 Å, with angles of 75.42, 73.79 and 89.98 degrees. The inequivalent atoms are Ba at (0.000, 0.000, 0.000), Ba at (0.132, 0.565, 0.735), Sb at (0.223, 0.228, 0.555), Sb at (0.497, 0.317, 0.006) and Pb at (0.334, 0.994, 0.330).

The formation energy without anion corrections comes out at -0.68 eV per atom. The value obtained for the spin magnetization is 0.00 μB/atom. As for the relative energy among the computed polymorphs: 0 meV/atom.

---

[2]
Density functional theory data (PBE-GGA) for BaPrGa2Pd5 after structural relaxation.

The space group is P4/mmm (No. 123) and the conventional cell measures 4.442, 4.442 and 9.292 Å, with angles of 90.00, 90.00 and 90.00 degrees. The inequivalent atoms are Ba at (0.000, 0.000, 0.000), Pr at (0.000, 0.000, 0.500), Ga at (0.500, 0.500, 0.362), Pd at (0.000, 0.500, 0.240) and Pd at (0.500, 0.500, 0.000).

The value obtained for the spin magnetization is 0.00 μB/atom. The calculation puts the formation enthalpy at 0 K at -13.59 kcal/mol of atoms.

---

[3]
Density functional theory data (PBE-GGA) for Th4OsS2N after structural relaxation.

The space group is P2/m (No. 10) and the conventional cell measures 6.881, 3.915 and 7.178 Å, with angles of 90.00, 108.44 and 90.00 degrees. The inequivalent atoms are Th at (0.223, 0.000, 0.220), Th at (0.244, 0.500, 0.770), Os at (0.500, 0.000, 0.000), S at (0.000, 0.000, 0.500), S at (0.500, 0.500, 0.500) and N at (0.000, 0.500, 0.000).

The formation energy without anion corrections comes out at -1.29 eV per atom. The value obtained for the spin magnetization is 0.00 μB/atom.

---

[4]
Density functional theory data (PBE-GGA) for HfTlSi2Ni after structural relaxation.

The space group is P4/mmm (No. 123) and the conventional cell measures 4.988, 4.988 and 4.610 Å, with angles of 90.00, 90.00 and 90.00 degrees. The inequivalent atoms are Hf at (0.000, 0.000, 0.000), Tl at (0.500, 0.500, 0.500), Si at (0.000, 0.500, 0.500) and Ni at (0.500, 0.500, 0.000).

The formation energy without anion corrections comes out at 1.37 eV per atom. The value obtained for the spin magnetization is 0.00 μB/atom.

---

[5]
Density functional theory data (PBE-GGA) for ScBe2Re after structural relaxation.

The space group is P2/m (No. 10) and the conventional cell measures 4.615, 2.666 and 4.986 Å, with angles of 90.00, 115.13 and 90.00 degrees. The inequivalent atoms are Sc at (0.000, 0.000, 0.000), Be at (0.500, 0.000, 0.500), Be at (0.500, 0.500, 0.000) and Re at (0.000, 0.500, 0.500).

The value obtained for the spin magnetization is 0.00 μB/atom. The calculation puts the formation enthalpy at 0 K at 7.97 kcal/mol of atoms. As for the relative energy among the computed polymorphs: 494 meV/atom.

---

[6]
Density functional theory data (PBE-GGA) for TbB2 after structural relaxation.

The space group is P6/mmm (No. 191) and the conventional cell measures 3.3024, 3.3024 and 3.9079 Å, with angles of 90.00, 90.00 and 120.00 degrees. The inequivalent atoms are Tb at (0.0000, 0.0000, 0.0000) and B at (0.3333, 0.6667, 0.5000).

The value obtained for the spin magnetization is 0.00 μB/atom. The calculation puts the formation enthalpy at 0 K at -12.26 kcal/mol of atoms. As for the relative energy among the computed polymorphs: 0 meV/atom.

---

[7]
Density functional theory data (PBE-GGA) for Tm2Th3Te8 after structural relaxation.

The space group is C2/m (No. 12) and the conventional cell measures 15.680, 8.736 and 7.375 Å, with angles of 90.00, 106.60 and 90.00 degrees. The inequivalent atoms are Tm at (0.245, 0.000, 0.327), Th at (0.000, 0.000, 0.500), Th at (0.000, 0.248, 0.000), Te at (0.112, 0.500, 0.881), Te at (0.128, 0.253, 0.418) and Te at (0.132, 0.000, 0.914).

The formation energy without anion corrections comes out at -1.12 eV per atom. The value obtained for the spin magnetization is 0.00 μB/atom.

---

[8]
Density functional theory data (PBE-GGA) for Th2AlZn2 after structural relaxation.

The space group is P4/mbm (No. 127) and the conventional cell measures 7.079, 7.079 and 4.663 Å, with angles of 90.00, 90.00 and 90.00 degrees. The inequivalent atoms are Th at (0.175, 0.325, 0.000), Al at (0.000, 0.000, 0.500) and Zn at (0.129, 0.629, 0.500).

The value obtained for the spin magnetization is 0.00 μB/atom. The calculation puts the formation enthalpy at 0 K at -6.16 kcal/mol of atoms.

---

[9]
Density functional theory data (PBE-GGA) for Na2CoRe after structural relaxation.

The space group is I-42d (No. 122) and the conventional cell measures 10.052, 10.052 and 4.394 Å, with angles of 90.00, 90.00 and 90.00 degrees. The inequivalent atoms are Na at (0.113, 0.250, 0.125), Co at (0.000, 0.000, 0.000) and Re at (0.000, 0.000, 0.500).

The value obtained for the spin magnetization is 0.85 μB/atom. The calculation puts the formation enthalpy at 0 K at 34.08 kcal/mol of atoms. As for the relative energy among the computed polymorphs: 0 meV/atom.

---

[10]
Density functional theory data (PBE-GGA) for Ca4Ni4Ge3 after structural relaxation.

The space group is Cmcm (No. 63) and the conventional cell measures 4.177, 10.419 and 19.895 Å, with angles of 90.00, 90.00 and 90.00 degrees. The inequivalent atoms are Ca at (0.000, 0.000, 0.000), Ca at (0.000, 0.271, 0.250), Ca at (0.000, 0.440, 0.650), Ni at (0.000, 0.152, 0.643), Ni at (0.000, 0.271, 0.534), Ge at (0.000, 0.031, 0.750) and Ge at (0.000, 0.286, 0.087).

The value obtained for the spin magnetization is 0.00 μB/atom. The calculation puts the formation enthalpy at 0 K at -11.93 kcal/mol of atoms.

---

[11]
Density functional theory data (PBE-GGA) for TbHoGaIr after structural relaxation.

The space group is Amm2 (No. 38) and the conventional cell measures 4.267, 3.964 and 10.678 Å, with angles of 90.00, 90.00 and 90.00 degrees. The inequivalent atoms are Tb at (0.000, 0.000, 0.000), Ho at (0.500, 0.000, 0.717), Ga at (0.500, 0.000, 0.426) and Ir at (0.000, 0.000, 0.281).

The value obtained for the spin magnetization is 0.00 μB/atom. The calculation puts the formation enthalpy at 0 K at -17.21 kcal/mol of atoms. As for the relative energy among the computed polymorphs: 0 meV/atom.

---

[12]
Density functional theory data (PBE-GGA) for CeHoTaN3 after structural relaxation.

The space group is P2_1/m (No. 11) and the conventional cell measures 7.282, 3.316 and 8.090 Å, with angles of 90.00, 90.74 and 90.00 degrees. The inequivalent atoms are Ce at (0.140, 0.250, 0.336), Ho at (0.393, 0.750, 0.653), Ta at (0.137, 0.250, 0.923), N at (0.148, 0.750, 0.082), N at (0.153, 0.250, 0.667) and N at (0.372, 0.750, 0.379).

The formation energy without anion corrections comes out at -1.13 eV per atom. The value obtained for the spin magnetization is 0.00 μB/atom.

---

Q: Which formula does entry 10 have?
A: Ca4Ni4Ge3